[1]
First-principles (PBE) data for an optimized crystal structure of TmHfBeZn, as listed in Alexandria.

Unit cell a=6.6539 b=6.6539 c=6.6539 alpha=90.00 beta=90.00 gamma=90.00
With the nearest neighbours (Å) after each atom.
Space group F-43m (No. 216)
Inequivalent atoms, fractional coordinates:
Tm (0.0000, 0.0000, 0.0000) [4 per cell]  4 Be 2.88, 4 Zn 2.88
Hf (0.0000, 0.0000, 0.5000) [4 per cell]  4 Be 2.88, 4 Zn 2.88
Be (0.2500, 0.2500, 0.2500) [4 per cell]  4 Hf 2.88, 4 Tm 2.88
Zn (0.2500, 0.2500, 0.7500) [4 per cell]  4 Hf 2.88, 4 Tm 2.88

Properties
Spin magnetization (μB/cell): 0.00
N(E_F) (states/eV/f.u.): 4.09
Energy relative to the elements (meV per atom): -42
Raw total energy (eV/atom): -4.899

***

[2]
First-principles (PBE) data for an optimized crystal structure of HfUBe17, as listed in Alexandria.

Unit cell a=7.5853 b=7.5853 c=11.0984 alpha=90.00 beta=90.00 gamma=120.00
With the nearest neighbours (Å) after each atom.
Space group R3m (No. 160, hexagonal axes)
Inequivalent atoms, fractional coordinates:
Hf (0.0000, 0.0000, 0.0000) [3 per cell]  19 Be 2.68-2.90
U (0.0000, 0.0000, 0.6775) [3 per cell]  19 Be 2.71-2.92
Be (0.0000, 0.0000, 0.2411) [3 per cell]  7 Be 2.13-2.34
Be (0.0000, 0.0000, 0.4329) [3 per cell]  7 Be 2.13-2.37
Be (0.9998, 0.4999, 0.1807) [9 per cell]  9 Be 2.19-2.39
Be (0.0004, 0.5002, 0.8376) [9 per cell]  10 Be 2.16-2.33
Be (0.0499, 0.3821, 0.0047) [18 per cell]  8 Be 2.14-2.40
Be (0.1676, 0.3352, 0.8300) [9 per cell]  9 Be 2.18-2.40

Properties
Spin magnetization (μB/cell): 4.41
N(E_F) (states/eV/f.u.): 8.00
Energy relative to the elements (meV per atom): -108
Raw total energy (eV/atom): -4.560

***

[3]
First-principles (PBE) data for an optimized crystal structure of HfUBe4, as listed in Alexandria.

Unit cell a=6.8482 b=6.8482 c=6.8482 alpha=90.00 beta=90.00 gamma=90.00
With the nearest neighbours (Å) after each atom.
Space group F-43m (No. 216)
Inequivalent atoms, fractional coordinates:
Hf (0.0000, 0.0000, 0.0000) [4 per cell]  12 Be 2.84, 4 U 2.97
U (0.2500, 0.2500, 0.2500) [4 per cell]  12 Be 2.84, 4 Hf 2.97
Be (0.1248, 0.1248, 0.6248) [16 per cell]  6 Be 2.42

Properties
Spin magnetization (μB/cell): 7.32
N(E_F) (states/eV/f.u.): 8.12
Energy relative to the elements (meV per atom): 166
Raw total energy (eV/atom): -5.859

***

For reference, volume by record: 18.4, 9.7, 13.4 Å³/atom.